# NdGa2Cu2 SCAN single point on PBEsol structure
data_NdGa2Cu2
_chemical_formula_sum 'Nd2 Ga4 Cu4'
_cell_length_a 4.110
_cell_length_b 4.110
_cell_length_c 10.193
_cell_angle_alpha 90.00
_cell_angle_beta 90.00
_cell_angle_gamma 90.00
_space_group_name_H-M_alt 'I 4/m m m'
_space_group_IT_number 139
_space_group_name_Hall '-I 4 2'
loop_
_atom_site_label
_atom_site_type_symbol
_atom_site_fract_x
_atom_site_fract_y
_atom_site_fract_z
Nd1 Nd 0.000 0.000 0.000
Ga1 Ga 0.000 0.500 0.250
Cu1 Cu 0.000 0.000 0.383
# **Total magnetization**: 0.00 μB/f.u.
# **Energy of formation from the pure elements**: -0.50 eV per atom